Material: In2As
Method: DFT, PBE
State: relaxed

Cell and atoms, written as POSCAR:
```
In2As
1.0
1.718 -8.516 0.000
1.718 8.516 0.000
0.000 0.000 5.158
In As
4 2
direct
0.071 0.929 0.750 In
0.222 0.778 0.250 In
0.778 0.222 0.750 In
0.929 0.071 0.250 In
0.419 0.581 0.750 As
0.581 0.419 0.250 As
```

Results
The calculation puts the total magnetization at 0.0 Bohr magnetons per cell. For the total energy, the calculation gives -3.302 eV/atom. For the formation energy, the calculation gives 0.07 eV/atom.